(1)
## HfTiIn3 (PBE)

Data for a relaxed HfTiIn3 crystal.

E above lowest polymorph   664.8 meV/atom
Final energy   -4.407 eV per atom
N(E_F)   6.24 states/eV per cell
Total magnetic moment   0.00 μB per atom
Formation energy from the elements   0.81 eV/atom

Cell: 5.138 5.138 5.138 Å, 90.00 90.00 90.00°
Atoms (fractional coordinates):
Hf (0.000, 0.000, 0.000)
Ti (0.500, 0.500, 0.500)
In (0.000, 0.500, 0.500)
In (0.500, 0.000, 0.500)
In (0.500, 0.500, 0.000)

***

(2)
## HfTi6In2 (PBE)

Data for a relaxed HfTi6In2 crystal.

E above lowest polymorph   39.1 meV/atom
Final energy   -6.921 eV per atom
N(E_F)   13.26 states/eV per cell
Total magnetic moment   0.24 μB per atom
Formation energy from the elements   0.06 eV/atom

Cell: 8.441 8.441 8.441 Å, 160.27 122.08 61.81°
Atoms (fractional coordinates):
Hf (0.000, 0.000, 0.000)
Ti (0.011, 0.336, 0.675)
Ti (0.327, 0.500, 0.827)
Ti (0.339, 0.664, 0.675)
Ti (0.661, 0.336, 0.325)
Ti (0.673, 0.500, 0.173)
Ti (0.989, 0.664, 0.325)
In (0.343, 0.843, 0.500)
In (0.657, 0.157, 0.500)

***

(3)
## HfTi2In (PBE)

Data for a relaxed HfTi2In crystal.

Final energy   -6.685 eV per atom
N(E_F)   6.95 states/eV per cell
Total magnetic moment   0.00 μB per atom
Formation energy from the elements   0.44 eV/atom

Cell: 6.093 6.093 6.093 Å, 102.82 102.82 123.78°
Atoms (fractional coordinates):
Hf (0.000, 0.000, 0.000)
Hf (0.750, 0.250, 0.500)
Ti (0.131, 0.125, 0.506)
Ti (0.375, 0.869, 0.994)
Ti (0.619, 0.625, 0.494)
Ti (0.875, 0.381, 0.006)
In (0.250, 0.750, 0.500)
In (0.500, 0.500, 0.000)